Entry from the Alexandria database: a relaxed structure of AlV8H2 (PBE).

Lattice parameters (Å, degrees): 4.438 5.796 5.796 66.33 92.40 92.40
Fractional positions:
V (0.766, 0.611, 0.611)
V (0.354, 0.825, 0.825)
V (0.756, 0.141, 0.588)
V (0.244, 0.412, 0.859)
V (0.244, 0.859, 0.412)
V (0.756, 0.588, 0.141)
V (0.234, 0.389, 0.389)
V (0.646, 0.175, 0.175)
Al (0.000, 0.000, 0.000)
H (0.239, 0.196, 0.196)
H (0.761, 0.804, 0.804)

Properties
size of the total moment = 0.0 μB per formula unit
DFT total energy = -7.307 eV per atom